(1)
The following is a PBE-GGA calculation of an optimized crystal structure of NaY2Ge2, from Alexandria via LeMat-Bulk.

```
data_NaY2Ge2
_chemical_formula_sum 'Na2 Y4 Ge4'
_symmetry_space_group_name_H-M 'I 4/m m m'
_symmetry_Int_Tables_number 139
_symmetry_space_group_name_Hall '-I 4 2'
_cell_length_a 5.4537
_cell_length_b 5.4537
_cell_length_c 9.6513
_cell_angle_alpha 90.00
_cell_angle_beta 90.00
_cell_angle_gamma 90.00
loop_
_atom_site_label
_atom_site_fract_x
_atom_site_fract_y
_atom_site_fract_z
_atom_site_occupancy
Na1 0.0000 0.0000 0.0000 1
Y1 0.0000 0.5000 0.2500 1
Ge1 0.0000 0.0000 0.3587 1
```

The calculation puts the total energy at -4.946 eV per atom. For the relative energy among the computed polymorphs, the calculation gives 291 meV/atom. The formation energy is -249 meV/atom. The calculation puts the mass density at 4.004 g/cm3.

(2)
The following is a PBE-GGA calculation of an optimized crystal structure of Ta11Ir4, from Alexandria via LeMat-Bulk.

```
data_Ta11Ir4
_chemical_formula_sum 'Ta22 Ir8'
_symmetry_space_group_name_H-M 'P 42/m n m'
_symmetry_Int_Tables_number 136
_symmetry_space_group_name_Hall '-P 4n 2n'
_cell_length_a 9.9716
_cell_length_b 9.9716
_cell_length_c 5.1958
_cell_angle_alpha 90.00
_cell_angle_beta 90.00
_cell_angle_gamma 90.00
loop_
_atom_site_label
_atom_site_fract_x
_atom_site_fract_y
_atom_site_fract_z
_atom_site_occupancy
Ta1 0.0000 0.0000 0.0000 1
Ta2 0.0353 0.3708 0.5000 1
Ta3 0.1017 0.1017 0.5000 1
Ta4 0.1849 0.8151 0.2527 1
Ir1 0.0651 0.2616 0.0000 1
```

The calculation puts the total energy at -11.519 eV per atom. The formation energy is -464 meV/atom. The calculation puts the mass density at 17.738 g/cm3.